[1]
A relaxed structure of Sc2Ga2MoRu5. Source: Alexandria via LeMat-Bulk, functional GGA-PBE. Values from VASP.

The structure in Quantum ESPRESSO input format:
```
&SYSTEM
  ibrav = 0, nat = 20, ntyp = 4
/
ATOMIC_SPECIES
Sc 44.96 Sc.upf
Ga 69.72 Ga.upf
Mo 95.94 Mo.upf
Ru 101.07 Ru.upf
CELL_PARAMETERS angstrom
9.892 0.000 0.000
0.000 9.892 0.000
0.000 0.000 3.278
ATOMIC_POSITIONS angstrom
Sc 1.679 3.267 0.000
Sc 3.267 8.213 0.000
Sc 6.625 1.679 0.000
Sc 8.213 6.625 0.000
Ga 1.282 6.228 0.000
Ga 3.664 1.282 0.000
Ga 6.228 8.610 0.000
Ga 8.610 3.664 0.000
Mo 0.000 0.000 0.000
Mo 4.946 4.946 0.000
Ru 0.000 4.946 1.639
Ru 0.637 7.956 1.639
Ru 1.935 0.637 1.639
Ru 3.010 5.583 1.639
Ru 4.308 3.010 1.639
Ru 4.946 0.000 1.639
Ru 5.583 6.881 1.639
Ru 6.881 4.308 1.639
Ru 7.956 9.254 1.639
Ru 9.254 1.935 1.639
```

Calculated values
DOS(E_F): 6.7 states/eV/f.u.
Formation energy from the elements: -291.4 meV/atom
Total moment: 0.0 μB/cell
Mass density: 8.6 Mg/m³

***

[2]
A relaxed structure of TaGaMoRu. Source: Alexandria via LeMat-Bulk, functional GGA-PBE. Values from VASP.

The structure in Quantum ESPRESSO input format:
```
&SYSTEM
  ibrav = 0, nat = 4, ntyp = 4
/
ATOMIC_SPECIES
Ta 180.95 Ta.upf
Ga 69.72 Ga.upf
Mo 95.94 Mo.upf
Ru 101.07 Ru.upf
CELL_PARAMETERS angstrom
0.000 3.147 3.147
3.147 0.000 3.147
3.147 3.147 0.000
ATOMIC_POSITIONS angstrom
Ta 0.000 0.000 0.000
Ga 3.147 3.147 3.147
Mo 1.574 1.574 1.574
Ru 4.721 4.721 4.721
```

Calculated values
DOS(E_F): 4.1 states/eV/f.u.
Formation energy from the elements: -182.4 meV/atom
Total moment: 0.0 μB/cell
Mass density: 11.9 Mg/m³

***

[3]
A relaxed structure of GaTcMoRu. Source: Alexandria via LeMat-Bulk, functional GGA-PBE. Values from VASP.

The structure in Quantum ESPRESSO input format:
```
&SYSTEM
  ibrav = 0, nat = 4, ntyp = 4
/
ATOMIC_SPECIES
Ga 69.72 Ga.upf
Tc 98.00 Tc.upf
Mo 95.94 Mo.upf
Ru 101.07 Ru.upf
CELL_PARAMETERS angstrom
0.000 3.084 3.084
3.084 0.000 3.084
3.084 3.084 0.000
ATOMIC_POSITIONS angstrom
Ga 0.000 0.000 0.000
Tc 1.542 1.542 1.542
Mo 3.084 3.084 3.084
Ru 4.626 4.626 4.626
```

Calculated values
DOS(E_F): 2.6 states/eV/f.u.
Formation energy from the elements: -150.2 meV/atom
Total moment: 0.0 μB/cell
Mass density: 10.3 Mg/m³